First-principles (PBE-GGA) data for a relaxed CuRe2PbAu crystal, as listed in the Alexandria database.

- Energy relative to the elements: 9.379 eV per formula unit
- E_tot: -5.320 eV per atom
- Total magnetic moment: 4.03 μB/f.u.

extended XYZ file:
```
5
Lattice="4.646 0.000 0.000 0.000 4.646 0.000 0.000 0.000 4.816" Properties=species:S:1:pos:R:3 pbc="T T T"
Cu 0.000 0.000 0.000
Re 0.000 2.323 0.000
Re 2.323 0.000 0.000
Pb 0.000 0.000 2.408
Au 2.323 2.323 2.408
```

=====

First-principles (PBE-GGA) data for a relaxed Ca2FePt2 crystal, as listed in the Alexandria database.

- Energy relative to the elements: -0.008 eV per formula unit
- E_tot: -4.911 eV per atom
- Total magnetic moment: 2.61 μB/f.u.

extended XYZ file:
```
5
Lattice="-1.876 1.876 8.411 1.876 -1.876 8.411 1.876 1.876 -8.411" Properties=species:S:1:pos:R:3 pbc="T T T"
Ca 0.000 0.000 1.913
Ca 0.000 0.000 14.909
Fe 0.000 0.000 8.411
Pt 1.876 0.000 4.205
Pt 0.000 1.876 4.205
```

=====

First-principles (PBE-GGA) data for a relaxed CaTb7Y3 crystal, as listed in the Alexandria database.

- Energy relative to the elements: 2.541 eV per formula unit
- E_tot: -4.660 eV per atom
- Total magnetic moment: 0.00 μB/f.u.

extended XYZ file:
```
11
Lattice="7.111 0.000 0.000 -3.555 6.158 0.000 0.000 0.000 8.684" Properties=species:S:1:pos:R:3 pbc="T T T"
Ca 0.000 0.000 0.000
Tb -1.750 3.095 0.010
Tb 0.000 4.105 5.882
Tb 1.795 1.036 5.786
Tb 1.750 3.095 0.010
Tb 0.000 6.126 0.010
Tb 5.316 1.036 5.786
Tb 3.555 4.086 5.786
Y 0.000 2.087 2.981
Y -1.748 5.115 2.981
Y 1.748 5.115 2.981
```

=====

First-principles (PBE-GGA) data for a relaxed Cs2HPtBr6 crystal, as listed in the Alexandria database.

- E_tot: -2.834 eV per atom
- Total magnetic moment: 1.00 μB/f.u.

extended XYZ file:
```
10
Lattice="-3.866 3.866 5.505 3.866 -3.866 5.505 3.866 3.866 -5.505" Properties=species:S:1:pos:R:3 pbc="T T T"
Cs 3.866 0.000 2.752
Cs 0.000 3.866 2.752
H 0.000 0.000 0.000
Pt 0.000 0.000 5.505
Br 2.085 2.085 0.000
Br 1.780 -1.780 5.505
Br 0.000 0.000 2.988
Br 0.000 0.000 8.021
Br -1.780 1.780 5.505
Br 1.780 1.780 5.505
```

=====

First-principles (PBE-GGA) data for a relaxed CsLi2Cu2 crystal, as listed in the Alexandria database.

- Energy relative to the elements: 1.395 eV per formula unit
- E_tot: -2.296 eV per atom
- Excess energy over the best structure of this formula in the dataset: 0.00 eV per formula unit
- Total magnetic moment: 0.00 μB/f.u.

extended XYZ file:
```
5
Lattice="-2.324 2.324 5.701 2.324 -2.324 5.701 2.324 2.324 -5.701" Properties=species:S:1:pos:R:3 pbc="T T T"
Cs 0.000 0.000 0.000
Li 2.324 0.000 2.850
Li 0.000 2.324 2.850
Cu 0.000 0.000 4.444
Cu 0.000 0.000 6.958
```

=====

First-principles (PBE-GGA) data for a relaxed Cu2AsHS4 crystal, as listed in the Alexandria database.

- E_tot: -4.222 eV per atom
- Total magnetic moment: 0.00 μB/f.u.

extended XYZ file:
```
16
Lattice="7.720 0.000 0.000 0.000 6.298 0.000 0.000 0.000 6.237" Properties=species:S:1:pos:R:3 pbc="T T T"
Cu 1.871 1.053 0.000
Cu 1.989 5.245 3.119
Cu 5.731 5.245 3.119
Cu 5.849 1.053 0.000
As 0.000 4.220 6.039
As 3.860 2.078 2.921
H 0.000 3.098 2.415
H 3.860 3.200 5.534
S 0.000 2.109 5.438
S 0.000 4.450 2.225
S 1.886 5.200 5.417
S 1.974 1.099 2.299
S 3.860 1.848 5.344
S 3.860 4.189 2.320
S 5.746 1.099 2.299
S 5.834 5.200 5.417
```

=====

First-principles (PBE-GGA) data for a relaxed Rb3Tl4Te4 crystal, as listed in the Alexandria database.

- E_form (uncorrected): -0.60 eV per atom
- E_tot: -2.868 eV per atom
- Excess energy over the best structure of this formula in the dataset: 0.00 eV per formula unit
- Total magnetic moment: 0.00 μB/f.u.

extended XYZ file:
```
11
Lattice="-2.502 5.164 8.578 2.502 -5.164 8.578 2.502 5.164 -8.578" Properties=species:S:1:pos:R:3 pbc="T T T"
Rb 0.000 0.000 0.000
Rb 2.502 0.000 6.723
Rb 0.000 5.164 1.855
Tl 2.502 2.024 -3.004
Tl 2.502 2.024 3.004
Tl 0.000 3.140 5.574
Tl 0.000 3.140 11.582
Te 0.000 0.000 3.789
Te 2.502 2.807 0.000
Te 0.000 2.357 8.578
Te 0.000 0.000 13.367
```

=====

First-principles (PBE-GGA) data for a relaxed Pu2ThCu2Ge2 crystal, as listed in the Alexandria database.

- Energy relative to the elements: -1.821 eV per formula unit
- E_tot: -7.905 eV per atom
- Total magnetic moment: 0.00 μB/f.u.

extended XYZ file:
```
7
Lattice="2.019 1.166 9.175 -2.019 1.166 9.175 0.000 -2.331 9.175" Properties=species:S:1:pos:R:3 pbc="T T T"
Pu 0.000 0.000 4.160
Pu 0.000 0.000 23.365
Th 0.000 0.000 0.000
Cu 0.000 0.000 11.337
Cu 0.000 0.000 16.189
Ge 0.000 0.000 7.077
Ge 0.000 0.000 20.449
```

=====

First-principles (PBE-GGA) data for a relaxed PmY2TmSe4 crystal, as listed in the Alexandria database.

- E_form (uncorrected): -1.75 eV per atom
- E_tot: -6.261 eV per atom
- Total magnetic moment: 0.00 μB/f.u.

extended XYZ file:
```
8
Lattice="7.064 0.000 0.000 0.000 4.045 0.000 -2.322 0.000 6.815" Properties=species:S:1:pos:R:3 pbc="T T T"
Pm 0.000 0.000 0.000
Y 2.371 0.000 3.407
Y 3.532 2.022 0.000
Tm -1.161 2.022 3.407
Se 0.031 0.000 5.053
Se 1.193 2.022 1.768
Se 3.549 2.022 5.047
Se 4.711 0.000 1.762
```

=====

First-principles (PBE-GGA) data for a relaxed Ac2Cu3NiSn4 crystal, as listed in the Alexandria database.

- Energy relative to the elements: -4.597 eV per formula unit
- E_tot: -4.690 eV per atom
- Total magnetic moment: 0.00 μB/f.u.

extended XYZ file:
```
10
Lattice="4.606 0.000 0.000 0.000 4.606 0.000 0.000 0.000 10.684" Properties=species:S:1:pos:R:3 pbc="T T T"
Ac 0.000 2.303 2.522
Ac 2.303 0.000 8.162
Cu 0.000 0.000 0.000
Cu 0.000 2.303 6.792
Cu 2.303 0.000 3.892
Ni 2.303 2.303 0.000
Sn 0.000 0.000 5.342
Sn 0.000 2.303 9.426
Sn 2.303 0.000 1.259
Sn 2.303 2.303 5.342
```

=====

First-principles (PBE-GGA) data for a relaxed Ba2CeCoS5 crystal, as listed in the Alexandria database.

- E_form (uncorrected): -1.58 eV per atom
- E_tot: -5.746 eV per atom
- Total magnetic moment: 2.78 μB/f.u.

extended XYZ file:
```
18
Lattice="2.073 -8.875 0.000 2.073 8.875 0.000 0.000 0.000 12.990" Properties=species:S:1:pos:R:3 pbc="T T T"
Ba 2.073 6.738 6.495
Ba 2.073 6.723 1.931
Ba 2.073 -6.723 8.426
Ba 2.073 -6.738 0.000
Ce 2.073 5.498 10.813
Ce 2.073 -5.498 4.318
Co 2.073 1.068 3.087
Co 2.073 -1.068 9.581
S 2.073 8.247 10.566
S 2.073 3.437 6.147
S 2.073 3.296 2.467
S 2.073 2.834 10.710
S 2.073 0.053 1.122
S 2.073 -0.053 7.617
S 2.073 -2.834 4.215
S 2.073 -3.296 8.962
S 2.073 -3.437 12.642
S 2.073 -8.247 4.072
```

=====

First-principles (PBE-GGA) data for a relaxed CePrTcPd crystal, as listed in the Alexandria database.

- Energy relative to the elements: -0.874 eV per formula unit
- E_tot: -6.786 eV per atom
- Total magnetic moment: 0.00 μB/f.u.

extended XYZ file:
```
4
Lattice="0.000 3.550 3.550 3.550 0.000 3.550 3.550 3.550 0.000" Properties=species:S:1:pos:R:3 pbc="T T T"
Ce 0.000 0.000 0.000
Pr 3.550 3.550 3.550
Tc 1.775 1.775 1.775
Pd 5.325 5.325 5.325
```